14
Lattice="-1.8995 -3.4917 1.0151 1.8002 -5.1017 -5.8902 5.7897 -4.7373 2.8287" Properties=species:S:1:pos:R:3 comment="Tm3Ga8Rh3 SCAN PBEsol geometry" mass_density_kg_m3=9558 energy_ev_per_cell=-399.01 pbc="T T T"
Ga 2.8910 -7.5538 -3.9938
Ga 2.7994 -5.7768 1.9473
Ga 2.6939 -3.7905 0.2924
Ga 4.0291 -9.4458 -0.0822
Ga 5.1478 -7.3476 0.9385
Ga 1.6613 -3.8848 -1.9643
Ga 0.5426 -5.9830 -2.9850
Ga 2.9965 -9.5401 -2.3389
Tm 5.9827 -8.7640 -2.3711
Tm -0.2923 -4.5667 0.3246
Tm 2.8452 -6.6653 -1.0233
Rh 4.9098 -4.8176 0.9057
Rh 2.6801 -5.0213 -3.9673
Rh -0.9497 -1.7458 0.5075